# 1
Compound: Zr2CoTc
Source: Alexandria
Functional: GGA-PBEsol
Structure: relaxed

Structure (CIF):
```
data_Zr2CoTc
_symmetry_space_group_name_H-M 'P 1'
_symmetry_Int_Tables_number 1
_cell_length_a 3.2143
_cell_length_b 3.2143
_cell_length_c 6.2831
_cell_angle_alpha 90.00
_cell_angle_beta 90.00
_cell_angle_gamma 90.00
loop_
_symmetry_equiv_pos_as_xyz
'x,y,z'
loop_
_atom_site_label
_atom_site_type_symbol
_atom_site_fract_x
_atom_site_fract_y
_atom_site_fract_z
Co1 Co 0.5000 0.5000 0.0000
Tc1 Tc 0.5000 0.5000 0.5000
Zr1 Zr 0.0000 0.0000 0.7533
Zr2 Zr 0.0000 0.0000 0.2467
```

distance to the lowest polymorph of the same formula	0.0000	eV per atom
symmetry	No. 123
energy of formation	-0.38	eV per atom

# 2
Compound: MgTc2Ni
Source: Alexandria
Functional: GGA-PBEsol
Structure: relaxed

Structure (CIF):
```
data_MgTc2Ni
_symmetry_space_group_name_H-M 'P 1'
_symmetry_Int_Tables_number 1
_cell_length_a 2.6922
_cell_length_b 4.2836
_cell_length_c 5.5033
_cell_angle_alpha 112.90
_cell_angle_beta 104.16
_cell_angle_gamma 90.00
loop_
_symmetry_equiv_pos_as_xyz
'x,y,z'
loop_
_atom_site_label
_atom_site_type_symbol
_atom_site_fract_x
_atom_site_fract_y
_atom_site_fract_z
Mg1 Mg 0.5000 0.0000 0.0000
Ni1 Ni 0.0000 0.5000 0.0000
Tc1 Tc 0.7151 0.7151 0.4302
Tc2 Tc 0.2849 0.2849 0.5698
```

symmetry	No. 71
energy of formation	0.14	eV per atom

# 3
Compound: CsBaBe2N
Source: Alexandria
Functional: GGA-PBEsol
Structure: relaxed

Structure (CIF):
```
data_CsBaBe2N
_symmetry_space_group_name_H-M 'P 1'
_symmetry_Int_Tables_number 1
_cell_length_a 4.2268
_cell_length_b 4.2268
_cell_length_c 5.8127
_cell_angle_alpha 90.00
_cell_angle_beta 90.00
_cell_angle_gamma 90.00
loop_
_symmetry_equiv_pos_as_xyz
'x,y,z'
loop_
_atom_site_label
_atom_site_type_symbol
_atom_site_fract_x
_atom_site_fract_y
_atom_site_fract_z
Cs1 Cs 0.0000 0.0000 0.5000
Be1 Be 0.0000 0.5000 0.0000
Be2 Be 0.5000 0.0000 0.0000
Ba1 Ba 0.5000 0.5000 0.5000
N1 N 0.0000 0.0000 0.0000
```

raw total energy	-2.8936	eV/atom
symmetry	No. 123